P | VASP calculation (PBE) on crystalline In4Sb5 at its relaxed geometry.

Summary:
As for the density of states at the Fermi level: 5.694 states/eV/f.u. As for the mass density: 7.025 Mg/m³. The calculation puts the calculated volume at 28.05 Å³ per atom.

Cell: 11.3654 11.3654 3.9092 Å, 90.00 90.00 90.00°
Space group I4/mmm (No. 139)
Symmetry-distinct sites (fractional):
In1 0.0000 0.3230 0.0000 (multiplicity 8)
Sb1 0.0000 0.0000 0.0000 (multiplicity 2)
Sb2 0.1749 0.1749 0.5000 (multiplicity 8)

Q | VASP calculation (PBE) on crystalline In4Sb5 at its relaxed geometry.

Summary:
As for the density of states at the Fermi level: 5.116 states/eV/f.u. As for the mass density: 7.141 Mg/m³. The calculation puts the calculated volume at 27.60 Å³ per atom.

Cell: 9.4666 9.4666 6.4002 Å, 90.00 90.00 120.00°
Space group P6_3/mcm (No. 193)
Symmetry-distinct sites (fractional):
In1 0.0000 0.0000 0.0000 (multiplicity 2)
In2 0.0000 0.3187 0.2500 (multiplicity 6)
Sb1 0.0000 0.3550 0.7500 (multiplicity 6)
Sb2 0.3333 0.6667 0.0000 (multiplicity 4)

Energy comparison, zero being the most stable, in kJ/mol of atoms: P 0.0; Q 1.3.

P | VASP calculation (PBE) on crystalline In5Sb4 at its relaxed geometry.

Summary:
As for the density of states at the Fermi level: 4.005 states/eV/f.u. As for the mass density: 7.042 Mg/m³. The calculation puts the calculated volume at 27.80 Å³ per atom.

Cell: 9.4338 9.4338 6.4933 Å, 90.00 90.00 120.00°
Space group P6_3/mcm (No. 193)
Symmetry-distinct sites (fractional):
In1 0.0000 0.3542 0.2500 (multiplicity 6)
In2 0.3333 0.6667 0.0000 (multiplicity 4)
Sb1 0.0000 0.0000 0.0000 (multiplicity 2)
Sb2 0.0000 0.3051 0.7500 (multiplicity 6)

Q | VASP calculation (PBE) on crystalline In5Sb4 at its relaxed geometry.

Summary:
As for the density of states at the Fermi level: 3.549 states/eV/f.u. As for the mass density: 7.049 Mg/m³. The calculation puts the calculated volume at 27.78 Å³ per atom.

Cell: 10.3547 10.3547 4.6631 Å, 90.00 90.00 90.00°
Space group I4/mmm (No. 139)
Symmetry-distinct sites (fractional):
In1 0.0000 0.0000 0.0000 (multiplicity 2)
In2 0.1661 0.1661 0.5000 (multiplicity 8)
Sb1 0.0000 0.3388 0.0000 (multiplicity 8)

Energy comparison, zero being the most stable, in kJ/mol of atoms: P 0.0; Q 3.9.

P | VASP calculation (PBE) on crystalline InSb5 at its relaxed geometry.

Summary:
As for the density of states at the Fermi level: 3.450 states/eV/f.u. As for the mass density: 7.134 Mg/m³. The calculation puts the calculated volume at 28.07 Å³ per atom.

Cell: 5.0944 16.5987 3.9836 Å, 90.00 90.00 90.00°
Space group Cmmm (No. 65)
Symmetry-distinct sites (fractional):
In1 0.0000 0.0000 0.0000 (multiplicity 2)
Sb1 0.0000 0.1897 0.5000 (multiplicity 4)
Sb2 0.0000 0.3499 0.0000 (multiplicity 4)
Sb3 0.0000 0.5000 0.5000 (multiplicity 2)

Q | VASP calculation (PBE) on crystalline InSb5 at its relaxed geometry.

Summary:
As for the density of states at the Fermi level: 2.841 states/eV/f.u. As for the mass density: 6.941 Mg/m³. The calculation puts the calculated volume at 28.85 Å³ per atom.

Cell: 12.2670 3.8641 7.6470 Å, 90.00 107.21 90.00°
Space group Cm (No. 8)
Symmetry-distinct sites (fractional):
In1 0.0000 0.0000 0.0000 (multiplicity 2)
Sb1 0.1711 0.5000 0.3770 (multiplicity 2)
Sb2 0.1929 0.5000 0.8781 (multiplicity 2)
Sb3 0.3115 0.0000 0.6846 (multiplicity 2)
Sb4 0.3264 0.0000 0.1940 (multiplicity 2)
Sb5 0.4929 0.5000 0.4616 (multiplicity 2)

Energy comparison, zero being the most stable, in kJ/mol of atoms: P 1.2; Q 0.0.